4
Lattice="-1.584 2.294 4.592 1.584 -2.294 4.592 1.584 2.294 -4.592" Properties=species:S:1:pos:R:3 comment="AlCrAg2, relaxed, DFT GGA-PBE" spacegroup="No. 71" volume_a3_per_atom=16.68 delta_e_f_ev_per_fu=0.8 pbc="T T T"
Al 0.000 0.000 0.000
Cr 0.000 0.000 4.592
Ag 1.584 0.000 2.186
Ag 0.000 2.294 2.407